Record 1
First-principles (PBE) data for crystalline VFe3Co at its relaxed geometry, as listed in Alexandria.

a b c (Å): 4.059 4.723 6.985
angles (deg): 118.64 90.00 90.00
Each line ends with the local moment (μB).
Fractional positions:
V 0.015 0.676 0.536  -0.91
V 0.515 0.091 0.848  -0.91
Fe 0.515 0.487 0.643  2.24
Fe 0.515 0.887 0.443  2.33
Fe 0.015 0.281 0.741  2.24
Fe 0.015 0.484 0.140  2.43
Fe 0.015 0.881 0.940  2.33
Fe 0.515 0.284 0.244  2.43
Co 0.515 0.690 0.046  1.68
Co 0.015 0.078 0.338  1.68

Computed properties:
Excess energy over the best structure of this formula in the dataset: 0.0000 eV/atom
SG: P2_1/m
Formation enthalpy at 0 K: -38 kJ/mol of formula units



Record 2
First-principles (PBE) data for crystalline Ce4PmH10 at its relaxed geometry, as listed in Alexandria.

a b c (Å): 3.839 3.839 15.893
angles (deg): 83.06 83.06 60.00
Each line ends with the local moment (μB).
Fractional positions:
Ce 0.400 0.400 0.800  0.74
Ce 0.800 0.800 0.600  0.70
Ce 0.200 0.200 0.400  0.70
Ce 0.600 0.600 0.200  0.74
Pm 0.000 0.000 0.000  -0.01
H 0.950 0.950 0.149  0.00
H 0.150 0.150 0.550  0.00
H 0.550 0.550 0.350  0.00
H 0.350 0.350 0.950  0.00
H 0.750 0.750 0.750  0.00
H 0.650 0.650 0.050  0.00
H 0.850 0.850 0.450  0.00
H 0.250 0.250 0.250  0.00
H 0.050 0.050 0.851  0.00
H 0.450 0.450 0.650  0.00

Computed properties:
SG: R-3m



Record 3
First-principles (PBE) data for crystalline SmHoHf at its relaxed geometry, as listed in Alexandria.

a b c (Å): 3.402 3.402 8.451
angles (deg): 90.00 90.00 120.00
Fractional positions:
Hf 0.667 0.333 0.336
Ho 0.333 0.667 0.644
Sm 0.000 0.000 0.020

Computed properties:
Excess energy over the best structure of this formula in the dataset: 0.0140 eV/atom
SG: P3m1
Formation enthalpy at 0 K: 42 kJ/mol of formula units



Record 4
First-principles (PBE) data for crystalline TaTi2Zn at its relaxed geometry, as listed in Alexandria.

a b c (Å): 3.276 3.276 6.224
angles (deg): 90.00 90.00 90.00
Fractional positions:
Zn 0.500 0.500 0.000
Ti 0.000 0.000 0.749
Ti 0.000 0.000 0.251
Ta 0.500 0.500 0.500

Computed properties:
SG: P4/mmm
Formation enthalpy at 0 K: -26 kJ/mol of formula units



Number 1: uncorrected energy -8.402 eV/atom, magnetic moment 7.60 μB per formula unit. Number 2: uncorrected energy -4.691 eV/atom, magnetic moment 3.28 μB per formula unit. Number 3: uncorrected energy -6.271 eV/atom, magnetic moment 0.00 μB per formula unit. Number 4: uncorrected energy -7.296 eV/atom, magnetic moment 0.00 μB per formula unit.